Li2CrH4O6 | PBEsol | relaxed

Computed properties:
Symmetry = No. 19
Calculated density = 2.227 g/cm3
Calculated total energy = -0.224 hartree per atom

a = 5.480 Å, b = 7.643 Å, c = 11.815 Å
α = 90.00°, β = 90.00°, γ = 90.00°
Atoms (fractional coordinates):
Cr 0.827 0.618 0.364
Cr 0.673 0.382 0.864
Cr 0.327 0.882 0.636
Cr 0.173 0.118 0.136
H 0.163 0.701 0.808
H 0.738 0.987 0.885
H 0.246 0.539 0.878
H 0.837 0.201 0.692
H 0.325 0.327 0.692
H 0.762 0.013 0.385
H 0.754 0.039 0.622
H 0.262 0.487 0.615
H 0.675 0.827 0.808
H 0.238 0.513 0.115
H 0.663 0.799 0.192
H 0.254 0.461 0.378
H 0.175 0.673 0.192
H 0.746 0.961 0.122
H 0.825 0.173 0.308
H 0.337 0.299 0.308
O 0.699 0.859 0.888
O 0.805 0.164 0.613
O 0.801 0.141 0.388
O 0.172 0.696 0.642
O 0.876 0.158 0.151
O 0.672 0.804 0.358
O 0.305 0.336 0.387
O 0.240 0.006 0.739
O 0.624 0.842 0.651
O 0.124 0.658 0.349
O 0.695 0.836 0.113
O 0.328 0.304 0.142
O 0.376 0.342 0.849
O 0.760 0.506 0.761
O 0.260 0.994 0.239
O 0.301 0.359 0.612
O 0.221 0.017 0.015
O 0.279 0.983 0.515
O 0.740 0.494 0.261
O 0.721 0.483 0.985
O 0.195 0.664 0.887
O 0.199 0.641 0.112
O 0.828 0.196 0.858
O 0.779 0.517 0.485
Li 0.826 0.637 0.627
Li 0.326 0.863 0.373
Li 0.174 0.137 0.873
Li 0.920 0.707 0.999
Li 0.080 0.207 0.501
Li 0.580 0.293 0.499
Li 0.674 0.363 0.127
Li 0.420 0.793 0.001


Ag2SnN | PBEsol | relaxed

Computed properties:
Symmetry = No. 225
Calculated density = 9.007 g/cm3
Raw formation energy = 87.9 kJ per mole of atoms

a = 4.496 Å, b = 4.496 Å, c = 4.496 Å
α = 60.00°, β = 60.00°, γ = 60.00°
Atoms (fractional coordinates):
Ag 0.750 0.750 0.750
Ag 0.250 0.250 0.250
N 0.000 0.000 0.000
Sn 0.500 0.500 0.500


CdSn3 | PBEsol | relaxed

Computed properties:
Symmetry = No. 139
Calculated density = 7.708 g/cm3
Energy relative to the elements = 0.05 eV per atom

a = 4.455 Å, b = 4.455 Å, c = 5.983 Å
α = 111.86°, β = 111.86°, γ = 90.00°
Atoms (fractional coordinates):
Sn 0.250 0.750 0.500
Sn 0.750 0.250 0.500
Sn 0.500 0.500 0.000
Cd 0.000 0.000 0.000


Zr2CoPt | PBEsol | relaxed

Computed properties:
Symmetry = No. 123
Calculated density = 10.716 g/cm3
Energy relative to the elements = -0.57 eV per atom

a = 3.281 Å, b = 4.540 Å, c = 4.540 Å
α = 90.00°, β = 90.00°, γ = 90.00°
Site moments in Bohr magnetons follow the coordinates.
Atoms (fractional coordinates):
Co 0.500 0.500 0.000  0.63
Zr 0.000 0.500 0.500  -0.02
Zr 0.000 0.000 0.000  -0.02
Pt 0.500 0.000 0.500  0.00


SrMo2P4O16 | PBEsol | relaxed

Computed properties:
Symmetry = No. 14
Calculated density = 3.737 g/cm3
Raw formation energy = -216.6 kJ per mole of atoms

a = 7.744 Å, b = 7.936 Å, c = 9.538 Å
α = 88.90°, β = 90.00°, γ = 90.00°
Site moments in Bohr magnetons follow the coordinates.
Atoms (fractional coordinates):
O 0.150 0.355 0.228  0.00
O 0.513 0.589 0.689  0.03
O 0.271 0.075 0.327  0.00
O 0.987 0.089 0.189  0.03
O 0.378 0.716 0.413  -0.05
O 0.622 0.284 0.587  -0.05
O 0.041 0.655 0.338  0.02
O 0.229 0.575 0.827  0.00
O 0.997 0.795 0.569  0.00
O 0.503 0.295 0.069  0.00
O 0.779 0.581 0.491  0.03
O 0.959 0.345 0.662  0.02
O 0.294 0.643 0.136  0.03
O 0.122 0.216 0.913  -0.05
O 0.721 0.081 0.991  0.03
O 0.541 0.845 0.162  0.02
O 0.459 0.155 0.838  0.02
O 0.206 0.143 0.636  0.03
O 0.003 0.205 0.431  0.00
O 0.706 0.357 0.864  0.03
O 0.850 0.645 0.772  0.00
O 0.279 0.919 0.009  0.03
O 0.771 0.425 0.173  0.00
O 0.650 0.145 0.272  0.00
O 0.013 0.911 0.811  0.03
O 0.794 0.857 0.364  0.03
O 0.878 0.784 0.087  -0.05
O 0.487 0.411 0.311  0.03
O 0.729 0.925 0.673  0.00
O 0.221 0.419 0.509  0.03
O 0.497 0.705 0.931  0.00
O 0.350 0.855 0.728  0.00
P 0.902 0.718 0.436  0.01
P 0.385 0.675 0.787  0.00
P 0.598 0.218 0.936  0.01
P 0.098 0.282 0.564  0.01
P 0.115 0.175 0.287  0.00
P 0.402 0.782 0.064  0.01
P 0.615 0.325 0.213  0.00
P 0.885 0.825 0.713  0.00
Mo 0.281 0.553 0.336  0.85
Mo 0.781 0.947 0.164  0.85
Mo 0.219 0.053 0.836  0.85
Mo 0.719 0.447 0.664  0.85
Sr 0.500 0.000 0.500  0.00
Sr 0.000 0.500 0.000  0.00


Tb3Eu | PBEsol | relaxed

Computed properties:
Symmetry = No. 139
Calculated density = 8.410 g/cm3
Relative energy among the computed polymorphs = 0.0000 eV per atom
Energy relative to the elements = 0.06 eV per atom

a = 4.985 Å, b = 4.985 Å, c = 6.114 Å
α = 114.06°, β = 114.06°, γ = 90.00°
Site moments in Bohr magnetons follow the coordinates.
Atoms (fractional coordinates):
Tb 0.750 0.250 0.500  0.06
Tb 0.500 0.500 0.000  0.03
Tb 0.250 0.750 0.500  0.06
Eu 0.000 0.000 0.000  6.81


LiIn | PBEsol | relaxed

Computed properties:
Symmetry = No. 12
Calculated density = 5.033 g/cm3
Energy relative to the elements = -0.25 eV per atom

a = 3.096 Å, b = 5.199 Å, c = 5.712 Å
α = 113.81°, β = 105.72°, γ = 90.00°
Atoms (fractional coordinates):
Li 0.877 0.714 0.755
Li 0.123 0.286 0.245
In 0.623 0.786 0.245
In 0.377 0.214 0.755


ZrSbTe2Pb | PBEsol | relaxed

Computed properties:
Symmetry = No. 123
Calculated density = 6.685 g/cm3
Relative energy among the computed polymorphs = 0.0000 eV per atom
Raw formation energy = -3.0 kJ per mole of atoms

a = 5.479 Å, b = 5.479 Å, c = 5.589 Å
α = 90.00°, β = 90.00°, γ = 90.00°
Atoms (fractional coordinates):
Pb 0.500 0.500 0.500
Sb 0.000 0.000 0.500
Zr 0.000 0.000 0.000
Te 0.000 0.500 0.000
Te 0.500 0.000 0.000